Entry from the Alexandria database: a geometry-optimized Sc2MnTl structure (GGA-PBE).

Calculated values
* formation energy: 0.260 eV per atom
* space-group type: R-3m
* M_tot: 0.00 μB/f.u.

Cell: 9.967 9.967 9.967 Å, 18.83 18.83 18.83°
Fractional positions:
1 Sc 0.106 0.106 0.106
2 Sc 0.894 0.894 0.894
3 Mn 0.500 0.500 0.500
4 Tl 0.000 0.000 0.000


Entry from the Alexandria database: a geometry-optimized Sc2MnTl2 structure (GGA-PBE).

Calculated values
* formation energy: 0.276 eV per atom
* space-group type: P4/mbm
* M_tot: 0.08 μB/f.u.

Cell: 7.234 7.234 4.136 Å, 90.00 90.00 90.00°
Fractional positions:
1 Sc 0.168 0.332 0.000
2 Sc 0.332 0.832 0.000
3 Sc 0.668 0.168 0.000
4 Sc 0.832 0.668 0.000
5 Mn 0.000 0.000 0.500
6 Mn 0.500 0.500 0.500
7 Tl 0.144 0.644 0.500
8 Tl 0.356 0.144 0.500
9 Tl 0.644 0.856 0.500
10 Tl 0.856 0.356 0.500


Entry from the Alexandria database: a geometry-optimized ScMn2Tl structure (GGA-PBE).

Calculated values
* formation energy: 0.213 eV per atom
* space-group type: P4/mmm
* M_tot: 5.36 μB/f.u.

Cell: 4.197 4.197 3.988 Å, 90.00 90.00 90.00°
Fractional positions:
1 Sc 0.000 0.000 0.000
2 Mn 0.000 0.500 0.500
3 Mn 0.500 0.000 0.500
4 Tl 0.500 0.500 0.000


Entry from the Alexandria database: a geometry-optimized ScMn2Tl structure (GGA-PBE).

Calculated values
* formation energy: 0.416 eV per atom
* space-group type: R-3m
* M_tot: 6.12 μB/f.u.

Cell: 9.390 9.390 9.390 Å, 19.11 19.11 19.11°
Fractional positions:
1 Sc 0.000 0.000 0.000
2 Mn 0.253 0.253 0.253
3 Mn 0.747 0.747 0.747
4 Tl 0.500 0.500 0.500


Entry from the Alexandria database: a geometry-optimized ScMn2Tl structure (GGA-PBE).

Calculated values
* formation energy: 0.089 eV per atom
* space-group type: Pmm2
* M_tot: 1.29 μB/f.u.

Cell: 3.118 3.130 7.430 Å, 90.00 90.00 90.00°
Fractional positions:
1 Sc 0.000 0.000 0.000
2 Mn 0.000 0.000 0.411
3 Mn 0.500 0.500 0.250
4 Tl 0.500 0.500 0.683


Entry from the Alexandria database: a geometry-optimized ScMn2Tl structure (GGA-PBE).

Calculated values
* formation energy: 0.586 eV per atom
* space-group type: I-42d
* M_tot: 6.37 μB/f.u.

Cell: 6.049 6.049 6.049 Å, 103.06 103.06 123.23°
Fractional positions:
1 Sc 0.000 0.000 0.000
2 Sc 0.750 0.250 0.500
3 Mn 0.130 0.625 0.005
4 Mn 0.375 0.380 0.505
5 Mn 0.620 0.125 0.995
6 Mn 0.875 0.870 0.495
7 Tl 0.250 0.750 0.500
8 Tl 0.500 0.500 0.000


Entry from the Alexandria database: a geometry-optimized ScMn2Tl structure (GGA-PBE).

Calculated values
* formation energy: 0.294 eV per atom
* space-group type: C2/m
* M_tot: 6.61 μB/f.u.

Cell: 5.057 5.057 5.115 Å, 101.57 101.57 36.10°
Fractional positions:
1 Sc 0.000 0.000 0.000
2 Mn 0.248 0.248 0.766
3 Mn 0.752 0.752 0.234
4 Tl 0.500 0.500 0.500


Entry from the Alexandria database: a geometry-optimized Sc2MnTl structure (GGA-PBE).

Calculated values
* formation energy: 0.049 eV per atom
* space-group type: F-43m
* M_tot: 1.98 μB/f.u.

Cell: 4.821 4.821 4.821 Å, 60.00 60.00 60.00°
Fractional positions:
1 Sc 0.000 0.000 0.000
2 Sc 0.250 0.250 0.250
3 Mn 0.500 0.500 0.500
4 Tl 0.750 0.750 0.750


Entry from the Alexandria database: a geometry-optimized ScMn2Tl structure (GGA-PBE).

Calculated values
* formation energy: 0.253 eV per atom
* space-group type: P4/mmm
* M_tot: 6.10 μB/f.u.

Cell: 3.392 3.392 6.447 Å, 90.00 90.00 90.00°
Fractional positions:
1 Sc 0.000 0.000 0.000
2 Mn 0.500 0.500 0.239
3 Mn 0.500 0.500 0.761
4 Tl 0.000 0.000 0.500


Entry from the Alexandria database: a geometry-optimized ScMnTlZn2 structure (GGA-PBE).

Calculated values
* formation energy: 1.003 eV per atom
* space-group type: P4/mmm
* M_tot: 4.01 μB/f.u.

Cell: 5.150 5.150 5.525 Å, 90.00 90.00 90.00°
Fractional positions:
1 Sc 0.000 0.000 0.000
2 Mn 0.500 0.500 0.500
3 Tl 0.000 0.000 0.500
4 Zn 0.000 0.500 0.000
5 Zn 0.500 0.000 0.000


Entry from the Alexandria database: a geometry-optimized TmSc3Mn8 structure (GGA-PBE).

Calculated values
* formation energy: -0.076 eV per atom
* space-group type: R3m
* M_tot: 1.87 μB/f.u.

Cell: 8.696 8.696 8.696 Å, 32.92 32.92 32.92°
Fractional positions:
1 Tm 0.000 0.000 0.000
2 Sc 0.377 0.377 0.377
3 Sc 0.500 0.500 0.500
4 Sc 0.875 0.875 0.875
5 Mn 0.188 0.188 0.188
6 Mn 0.437 0.437 0.934
7 Mn 0.437 0.934 0.437
8 Mn 0.442 0.938 0.938
9 Mn 0.688 0.688 0.688
10 Mn 0.934 0.437 0.437
11 Mn 0.938 0.442 0.938
12 Mn 0.938 0.938 0.442


Entry from the Alexandria database: a geometry-optimized TmSc2Mn9 structure (GGA-PBE).

Calculated values
* formation energy: -0.051 eV per atom
* space-group type: R-3m
* M_tot: 3.14 μB/f.u.

Cell: 8.283 8.283 8.283 Å, 35.51 35.51 35.51°
Fractional positions:
1 Tm 0.000 0.000 0.000
2 Sc 0.143 0.143 0.143
3 Sc 0.857 0.857 0.857
4 Mn 0.080 0.586 0.586
5 Mn 0.335 0.335 0.335
6 Mn 0.414 0.414 0.920
7 Mn 0.414 0.920 0.414
8 Mn 0.500 0.500 0.500
9 Mn 0.586 0.080 0.586
10 Mn 0.586 0.586 0.080
11 Mn 0.665 0.665 0.665
12 Mn 0.920 0.414 0.414


Entry from the Alexandria database: a geometry-optimized TmScMn4 structure (GGA-PBE).

Calculated values
* formation energy: -0.023 eV per atom
* space-group type: F-43m
* M_tot: 1.35 μB/f.u.

Cell: 4.985 4.985 4.985 Å, 60.00 60.00 60.00°
Fractional positions:
1 Tm 0.000 0.000 0.000
2 Sc 0.750 0.750 0.750
3 Mn 0.375 0.375 0.375
4 Mn 0.375 0.375 0.874
5 Mn 0.375 0.874 0.375
6 Mn 0.874 0.375 0.375


Entry from the Alexandria database: a geometry-optimized TmScMn2 structure (GGA-PBE).

Calculated values
* formation energy: 0.126 eV per atom
* space-group type: P4/mmm
* M_tot: 5.17 μB/f.u.

Cell: 3.387 3.387 6.613 Å, 90.00 90.00 90.00°
Fractional positions:
1 Tm 0.000 0.000 0.000
2 Sc 0.000 0.000 0.500
3 Mn 0.500 0.500 0.281
4 Mn 0.500 0.500 0.719


Entry from the Alexandria database: a geometry-optimized TmSc2Mn structure (GGA-PBE).

Calculated values
* formation energy: 0.249 eV per atom
* space-group type: Fm-3m
* M_tot: 1.96 μB/f.u.

Cell: 5.029 5.029 5.029 Å, 60.00 60.00 60.00°
Fractional positions:
1 Tm 0.000 0.000 0.000
2 Sc 0.250 0.250 0.250
3 Sc 0.750 0.750 0.750
4 Mn 0.500 0.500 0.500


Entry from the Alexandria database: a geometry-optimized TmSc2Mn structure (GGA-PBE).

Calculated values
* formation energy: 0.089 eV per atom
* space-group type: P4/mmm
* M_tot: 1.19 μB/f.u.

Cell: 3.213 3.213 8.468 Å, 90.00 90.00 90.00°
Fractional positions:
1 Tm 0.000 0.000 0.000
2 Sc 0.500 0.500 0.315
3 Sc 0.500 0.500 0.685
4 Mn 0.000 0.000 0.500


Entry from the Alexandria database: a geometry-optimized TmScMnZn structure (GGA-PBE).

Calculated values
* formation energy: -0.067 eV per atom
* space-group type: F-43m
* M_tot: 2.65 μB/f.u.

Cell: 4.822 4.822 4.822 Å, 60.00 60.00 60.00°
Fractional positions:
1 Tm 0.000 0.000 0.000
2 Sc 0.500 0.500 0.500
3 Mn 0.250 0.250 0.250
4 Zn 0.750 0.750 0.750


Entry from the Alexandria database: a geometry-optimized ScUMn4 structure (GGA-PBE).

Calculated values
* formation energy: 0.042 eV per atom
* space-group type: F-43m
* M_tot: 4.94 μB/f.u.

Cell: 4.988 4.988 4.988 Å, 60.00 60.00 60.00°
Fractional positions:
1 Sc 0.000 0.000 0.000
2 U 0.250 0.250 0.250
3 Mn 0.125 0.625 0.625
4 Mn 0.625 0.125 0.625
5 Mn 0.625 0.625 0.125
6 Mn 0.625 0.625 0.625


Entry from the Alexandria database: a geometry-optimized ScU2Mn9 structure (GGA-PBE).

Calculated values
* formation energy: 0.048 eV per atom
* space-group type: P4/mbm
* M_tot: 4.80 μB/f.u.

Cell: 8.141 8.141 5.062 Å, 90.00 90.00 90.00°
Fractional positions:
1 Sc 0.000 0.000 0.000
2 Sc 0.500 0.500 0.000
3 U 0.114 0.386 0.000
4 U 0.386 0.886 0.000
5 U 0.614 0.114 0.000
6 U 0.886 0.614 0.000
7 Mn 0.000 0.500 0.500
8 Mn 0.067 0.203 0.500
9 Mn 0.185 0.685 0.248
10 Mn 0.185 0.685 0.752
11 Mn 0.203 0.933 0.500
12 Mn 0.297 0.433 0.500
13 Mn 0.315 0.185 0.248
14 Mn 0.315 0.185 0.752
15 Mn 0.433 0.703 0.500
16 Mn 0.500 0.000 0.500
17 Mn 0.567 0.297 0.500
18 Mn 0.685 0.815 0.248
19 Mn 0.685 0.815 0.752
20 Mn 0.703 0.567 0.500
21 Mn 0.797 0.067 0.500
22 Mn 0.815 0.315 0.248
23 Mn 0.815 0.315 0.752
24 Mn 0.933 0.797 0.500


Entry from the Alexandria database: a geometry-optimized ScMnV structure (GGA-PBE).

Calculated values
* formation energy: 0.015 eV per atom
* space-group type: I4mm
* M_tot: 0.00 μB/f.u.

Cell: 5.402 5.402 5.402 Å, 147.43 147.43 46.73°
Fractional positions:
1 Sc 0.000 0.000 0.000
2 Mn 0.683 0.683 0.000
3 V 0.297 0.297 0.000


Entry from the Alexandria database: a geometry-optimized ScMn2V structure (GGA-PBE).

Calculated values
* formation energy: -0.047 eV per atom
* space-group type: P4/mmm
* M_tot: 1.56 μB/f.u.

Cell: 2.985 2.985 6.300 Å, 90.00 90.00 90.00°
Fractional positions:
1 Sc 0.000 0.000 0.000
2 Mn 0.500 0.500 0.286
3 Mn 0.500 0.500 0.714
4 V 0.000 0.000 0.500


Entry from the Alexandria database: a geometry-optimized Sc3MnV structure (GGA-PBE).

Calculated values
* formation energy: 0.524 eV per atom
* space-group type: Pm-3m
* M_tot: 3.07 μB/f.u.

Cell: 4.799 4.799 4.799 Å, 90.00 90.00 90.00°
Fractional positions:
1 Sc 0.000 0.000 0.500
2 Sc 0.000 0.500 0.000
3 Sc 0.500 0.000 0.000
4 Mn 0.000 0.000 0.000
5 V 0.500 0.500 0.500


Entry from the Alexandria database: a geometry-optimized ScMnV structure (GGA-PBE).

Calculated values
* formation energy: -0.016 eV per atom
* space-group type: Cmcm
* M_tot: 0.00 μB/f.u.

Cell: 6.716 6.716 4.524 Å, 90.00 90.00 153.31°
Fractional positions:
1 Sc 0.078 0.922 0.750
2 Sc 0.922 0.078 0.250
3 Mn 0.391 0.609 0.750
4 Mn 0.609 0.391 0.250
5 V 0.236 0.764 0.250
6 V 0.764 0.236 0.750


Entry from the Alexandria database: a geometry-optimized ScMn2V structure (GGA-PBE).

Calculated values
* formation energy: 0.046 eV per atom
* space-group type: P4/mmm
* M_tot: 1.64 μB/f.u.

Cell: 4.306 4.306 3.020 Å, 90.00 90.00 90.00°
Fractional positions:
1 Sc 0.000 0.000 0.000
2 Mn 0.000 0.500 0.500
3 Mn 0.500 0.000 0.500
4 V 0.500 0.500 0.000


Entry from the Alexandria database: a geometry-optimized Sc2MnV2 structure (GGA-PBE).

Calculated values
* formation energy: 0.123 eV per atom
* space-group type: P4/mbm
* M_tot: 0.00 μB/f.u.

Cell: 5.930 5.930 4.780 Å, 90.00 90.00 90.00°
Fractional positions:
1 Sc 0.173 0.327 0.000
2 Sc 0.327 0.827 0.000
3 Sc 0.673 0.173 0.000
4 Sc 0.827 0.673 0.000
5 Mn 0.000 0.000 0.500
6 Mn 0.500 0.500 0.500
7 V 0.146 0.646 0.500
8 V 0.354 0.146 0.500
9 V 0.646 0.854 0.500
10 V 0.854 0.354 0.500


Entry from the Alexandria database: a geometry-optimized ScMn2V structure (GGA-PBE).

Calculated values
* formation energy: 0.722 eV per atom
* space-group type: I4_1/amd
* M_tot: 0.00 μB/f.u.

Cell: 8.327 8.327 8.327 Å, 150.24 150.24 42.59°
Fractional positions:
1 Sc 0.375 0.625 0.750
2 Sc 0.625 0.375 0.250
3 Mn 0.000 0.000 0.000
4 Mn 0.000 0.000 0.500
5 Mn 0.000 0.500 0.000
6 Mn 0.500 0.000 0.500
7 V 0.125 0.875 0.250
8 V 0.875 0.125 0.750


Entry from the Alexandria database: a geometry-optimized ZrSc2MnV structure (GGA-PBE).

Calculated values
* formation energy: 1.111 eV per atom
* space-group type: P4/mmm
* M_tot: 0.07 μB/f.u.

Cell: 4.709 4.709 4.856 Å, 90.00 90.00 90.00°
Fractional positions:
1 Zr 0.000 0.000 0.000
2 Sc 0.000 0.500 0.500
3 Sc 0.500 0.000 0.500
4 Mn 0.500 0.500 0.000
5 V 0.000 0.000 0.500


Number 1: V 90.1 Å³/cell. Number 2: V 216.4 Å³/cell. Number 3: V 70.2 Å³/cell. Number 4: V 77.5 Å³/cell. Number 5: V 72.5 Å³/cell. Number 6: V 162.9 Å³/cell. Number 7: V 75.3 Å³/cell. Number 8: V 79.2 Å³/cell. Number 9: V 74.2 Å³/cell. Number 10: V 146.6 Å³/cell. Number 11: V 172.8 Å³/cell. Number 12: V 171.4 Å³/cell. Number 13: V 87.6 Å³/cell. Number 14: V 75.8 Å³/cell. Number 15: V 89.9 Å³/cell. Number 16: V 87.4 Å³/cell. Number 17: V 79.3 Å³/cell. Number 18: V 87.8 Å³/cell. Number 19: V 335.5 Å³/cell. Number 20: V 45.5 Å³/cell. Number 21: V 56.1 Å³/cell. Number 22: V 110.5 Å³/cell. Number 23: V 91.7 Å³/cell. Number 24: V 56.0 Å³/cell. Number 25: V 168.1 Å³/cell. Number 26: V 141.9 Å³/cell. Number 27: V 107.7 Å³/cell.